# 1
Here is Y2BiH after structural relaxation from the Alexandria database. Energies are from GGA-PBE.

Structure (POSCAR):
```
Y2BiH
1.0
1.366 1.676 4.688
0.203 5.066 0.973
-3.517 2.179 3.089
Y H Bi
2 1 1
direct
0.250 0.250 0.250
0.750 0.750 0.750
0.000 0.000 0.000
0.500 0.500 0.500
```

Output
**SG**: Fm-3m, No. 225
**DFT total energy**: -5.234 eV/atom

# 2
Here is Y4Bi2H after structural relaxation from the Alexandria database. Energies are from GGA-PBE.

Structure (POSCAR):
```
Y4Bi2H
1.0
-6.043 0.921 1.796
-2.051 -3.326 -5.196
2.962 -7.811 3.830
Y Bi H
8 4 2
direct
0.068 0.750 0.337
0.538 0.999 0.305
0.538 0.501 0.305
0.146 0.750 0.948
0.462 0.001 0.695
0.932 0.250 0.663
0.462 0.499 0.695
0.854 0.250 0.052
0.859 0.750 0.605
0.689 0.750 0.024
0.141 0.250 0.395
0.311 0.250 0.976
0.298 0.750 0.202
0.702 0.250 0.798
```

Output
**SG**: P2_1/m, No. 11
**DFT total energy**: -5.911 eV/atom